A geometry-optimized La6Y5Ho structure, computed with GGA-PBE.

POSCAR file:
```
La6Y5Ho
1.0
-2.9722 3.9420 8.9168
2.9722 -3.9420 8.9168
2.9722 3.9420 -8.9168
La Y Ho
6 5 1
Cartesian
2.9722 1.9588 -2.9571 La
0.0000 1.9476 0.0000 La
2.9722 1.9588 2.9571 La
0.0000 1.9831 5.9598 La
0.0000 5.9363 0.0000 La
0.0000 1.9831 11.8739 La
0.0000 0.0000 2.9886 Y
2.9722 0.0000 5.9475 Y
0.0000 0.0000 8.9168 Y
0.0000 3.9420 2.9693 Y
0.0000 0.0000 14.8451 Y
2.9722 0.0000 0.0000 Ho
```

Results
Calculated formation energy (meV per atom): 70
Calculated density (kg/m3): 5734
Space group: Immm (71)
Electronic total energy (eV/atom): -5.47

---

A geometry-optimized SrTl2I4 structure, computed with GGA-PBE.

POSCAR file:
```
SrTl2I4
1.0
8.7329 -2.4272 0.0000
8.7329 2.4272 0.0000
-4.2456 0.0000 8.0960
Sr Tl I
1 2 4
Cartesian
0.0000 0.0000 0.0000 Sr
3.6732 0.0000 2.4943 Tl
9.5469 0.0000 5.6017 Tl
0.2738 0.0000 3.2737 I
6.4513 0.0000 0.0381 I
6.7688 0.0000 8.0579 I
12.9463 0.0000 4.8223 I
```

Results
Calculated density (kg/m3): 4858
Space group: C2/m (12)
Energy above the most stable polymorph in this dataset (meV/atom): 2
Electronic total energy (eV/atom): -2.89

---

A geometry-optimized K2PaCl7 structure, computed with GGA-PBE.

POSCAR file:
```
K2PaCl7
1.0
8.5694 -4.2299 0.0000
8.5694 4.2299 0.0000
-7.4810 0.0000 9.2737
K Pa Cl
4 2 14
Cartesian
1.1101 0.5283 2.7559 K
-2.6304 -0.5283 7.3928 K
12.2883 0.5283 1.8810 K
8.5478 -0.5283 6.5179 K
6.6992 1.0092 2.3184 Pa
2.9587 -1.0092 6.9553 Pa
6.6992 3.6767 2.3184 Cl
4.1310 1.5861 2.1014 Cl
-0.2721 1.4191 9.0819 Cl
1.8680 1.1558 5.7839 Cl
6.1894 1.4191 4.8287 Cl
9.2674 1.5861 2.5355 Cl
4.0494 1.1558 8.1267 Cl
5.6085 -1.1558 1.1470 Cl
0.3905 -1.5861 6.7383 Cl
3.4684 -1.4191 4.4451 Cl
7.7899 -1.1558 3.4899 Cl
9.9300 -1.4191 0.1918 Cl
5.5269 -1.5861 7.1723 Cl
2.9587 -3.6767 6.9553 Cl
```

Results
Calculated density (kg/m3): 2753
Space group: C2/c (15)
Electronic total energy (eV/atom): -4.36

---

A geometry-optimized Cs2BaSb2O6 structure, computed with GGA-PBE.

POSCAR file:
```
Cs2BaSb2O6
1.0
5.8642 -3.4227 0.0000
5.8642 3.4227 0.0000
-4.3638 0.0000 6.8218
Cs Ba Sb O
2 1 2 6
Cartesian
1.6233 0.0000 1.2932 Cs
5.7412 0.0000 5.5287 Cs
-2.1819 0.0000 3.4109 Ba
1.9034 0.0000 5.4323 Sb
5.4612 0.0000 1.3896 Sb
4.3996 1.5722 1.5947 O
0.3688 0.0000 4.3118 O
2.9650 1.5722 5.2271 O
4.3996 -1.5722 1.5947 O
6.9958 0.0000 2.5100 O
2.9650 -1.5722 5.2271 O
```

Results
Calculated density (kg/m3): 4503
Space group: C2/m (12)
Electronic total energy (eV/atom): -5.45

---

A geometry-optimized HfScPd5 structure, computed with GGA-PBE.

POSCAR file:
```
HfScPd5
1.0
3.9867 0.0000 0.0000
0.0000 3.9867 0.0000
0.0000 0.0000 7.8035
Hf Sc Pd
1 1 5
Cartesian
0.0000 0.0000 0.0000 Hf
1.9934 1.9934 3.9018 Sc
0.0000 0.0000 3.9018 Pd
0.0000 1.9934 1.8254 Pd
0.0000 1.9934 5.9782 Pd
1.9934 0.0000 1.8254 Pd
1.9934 0.0000 5.9782 Pd
```

Results
Calculated formation energy (meV per atom): -667
Calculated density (kg/m3): 10116
Space group: P4/mmm (123)
Electronic total energy (eV/atom): -6.70

---

A geometry-optimized HgIrBr2 structure, computed with GGA-PBE.

POSCAR file:
```
HgIrBr2
1.0
4.5938 0.0000 0.0000
0.0000 4.5938 0.0000
0.0000 0.0000 4.0742
Hg Ir Br
1 1 2
Cartesian
0.0000 0.0000 0.0000 Hg
2.2969 2.2969 0.0000 Ir
0.0000 2.2969 2.0371 Br
2.2969 0.0000 2.0371 Br
```

Results
Calculated density (kg/m3): 10673
Space group: P4/mmm (123)
Energy above the most stable polymorph in this dataset (meV/atom): 925
Electronic total energy (eV/atom): -2.12

---

A geometry-optimized ScZn2Hg structure, computed with GGA-PBE.

POSCAR file:
```
ScZn2Hg
1.0
-2.3355 2.3355 3.3324
2.3355 -2.3355 3.3324
2.3355 2.3355 -3.3324
Sc Zn Hg
1 2 1
Cartesian
0.0000 0.0000 0.0000 Sc
2.3355 0.0000 1.6662 Zn
0.0000 0.0000 3.3324 Zn
0.0000 2.3355 1.6662 Hg
```

Results
Calculated formation energy (meV per atom): -230
Calculated density (kg/m3): 8596
Space group: I-4m2 (119)
Electronic total energy (eV/atom): -2.53

---

A geometry-optimized YGeF3 structure, computed with GGA-PBE.

POSCAR file:
```
YGeF3
1.0
4.4525 0.0000 0.0000
0.0000 4.4525 0.0000
0.0000 0.0000 4.4525
Y Ge F
1 1 3
Cartesian
0.0000 0.0000 0.0000 Y
2.2262 2.2262 2.2262 Ge
0.0000 2.2262 2.2262 F
2.2262 0.0000 2.2262 F
2.2262 2.2262 0.0000 F
```

Results
Calculated density (kg/m3): 4111
Space group: Pm-3m (221)
Energy above the most stable polymorph in this dataset (meV/atom): 916
Electronic total energy (eV/atom): -4.93

---

A geometry-optimized TlZnIn2H structure, computed with GGA-PBE.

POSCAR file:
```
TlZnIn2H
1.0
5.6385 0.0000 0.0000
0.0000 5.6385 0.0000
0.0000 0.0000 3.4788
Tl Zn In H
1 1 2 1
Cartesian
0.0000 0.0000 0.0000 Tl
2.8193 2.8193 1.7394 Zn
0.0000 2.8193 1.7394 In
2.8193 0.0000 1.7394 In
2.8193 2.8193 0.0000 H
```

Results
Calculated density (kg/m3): 7513
Space group: P4/mmm (123)
Electronic total energy (eV/atom): -2.30

---

A geometry-optimized Sr2Ga4SiPd3 structure, computed with GGA-PBE.

POSCAR file:
```
Sr2Ga4SiPd3
1.0
4.3203 0.0000 0.0000
0.0000 4.3203 0.0000
0.0000 0.0000 10.8733
Sr Ga Si Pd
2 4 1 3
Cartesian
0.0000 2.1601 2.7051 Sr
2.1601 0.0000 8.1681 Sr
0.0000 0.0000 5.4366 Ga
0.0000 2.1601 9.4224 Ga
2.1601 0.0000 1.4508 Ga
2.1601 2.1601 5.4366 Ga
2.1601 2.1601 0.0000 Si
0.0000 0.0000 0.0000 Pd
0.0000 2.1601 6.8483 Pd
2.1601 0.0000 4.0250 Pd
```

Results
Calculated density (kg/m3): 6558
Space group: P-4m2 (115)
Electronic total energy (eV/atom): -4.27

---

A geometry-optimized KCa2GaS4 structure, computed with GGA-PBE.

POSCAR file:
```
KCa2GaS4
1.0
-4.0868 4.1433 5.6768
4.0868 -4.1433 5.6768
4.0868 4.1433 -5.6768
K Ca Ga S
2 4 2 8
Cartesian
-2.0434 2.0717 2.8384 K
2.0434 2.0717 2.8384 K
0.0000 0.0000 0.0000 Ca
2.0434 2.0717 -2.8384 Ca
2.0434 -2.0717 2.8384 Ca
0.0000 4.1433 0.0000 Ca
4.0868 0.0000 0.0000 Ga
0.0000 0.0000 5.6768 Ga
4.0868 -0.1408 2.2682 S
1.9056 2.0717 -0.1059 S
2.1812 -2.0717 5.5709 S
4.0868 4.0025 -2.2682 S
0.0000 0.1408 7.9450 S
1.9056 6.2150 0.1059 S
2.1812 2.0717 5.7827 S
0.0000 4.2842 3.4086 S
```

Results
Calculated density (kg/m3): 2740
Space group: Imma (74)
Electronic total energy (eV/atom): -4.38

---

A geometry-optimized Ho2Al4Ag3Au structure, computed with GGA-PBE.

POSCAR file:
```
Ho2Al4Ag3Au
1.0
4.2977 0.0000 0.0000
0.0000 4.2977 0.0000
0.0000 0.0000 10.7968
Ho Al Ag Au
2 4 3 1
Cartesian
0.0000 2.1489 2.6727 Ho
2.1489 0.0000 8.1240 Ho
0.0000 0.0000 5.3984 Al
0.0000 2.1489 9.3576 Al
2.1489 0.0000 1.4392 Al
2.1489 2.1489 5.3984 Al
0.0000 0.0000 0.0000 Ag
0.0000 2.1489 6.8768 Ag
2.1489 0.0000 3.9200 Ag
2.1489 2.1489 0.0000 Au
```

Results
Calculated formation energy (meV per atom): -385
Calculated density (kg/m3): 7980
Space group: P-4m2 (115)
Electronic total energy (eV/atom): -3.98

---

A geometry-optimized MnAl2CrSn structure, computed with GGA-PBE.

POSCAR file:
```
MnAl2CrSn
1.0
4.5654 0.0000 0.0000
0.0000 4.5654 0.0000
0.0000 0.0000 4.8997
Mn Al Cr Sn
1 2 1 1
Cartesian
0.0000 0.0000 0.0000 Mn
0.0000 2.2827 2.4498 Al
2.2827 0.0000 2.4498 Al
2.2827 2.2827 2.4498 Cr
2.2827 2.2827 0.0000 Sn
```

Results
Calculated formation energy (meV per atom): 1133
Calculated density (kg/m3): 4546
Space group: P4/mmm (123)
Electronic total energy (eV/atom): -4.92

---

A geometry-optimized KMn2Ni structure, computed with GGA-PBE.

POSCAR file:
```
KMn2Ni
1.0
1.5112 0.8725 9.7038
-1.5112 0.8725 9.7038
0.0000 -1.7450 9.7038
K Mn Ni
1 2 1
Cartesian
0.0000 0.0000 0.0000 K
0.0000 0.0000 6.6359 Mn
0.0000 0.0000 22.4756 Mn
0.0000 0.0000 14.5558 Ni
```

Results
Calculated formation energy (meV per atom): 768
Calculated density (kg/m3): 4492
Space group: R-3m (166)
Energy above the most stable polymorph in this dataset (meV/atom): 202
Electronic total energy (eV/atom): -5.54

---

A geometry-optimized HfNiSbPd structure, computed with GGA-PBE.

POSCAR file:
```
HfNiSbPd
1.0
0.0000 3.2476 3.2476
3.2476 0.0000 3.2476
3.2476 3.2476 0.0000
Hf Ni Sb Pd
1 1 1 1
Cartesian
0.0000 0.0000 0.0000 Hf
1.6238 1.6238 1.6238 Ni
3.2476 3.2476 3.2476 Sb
4.8714 4.8714 4.8714 Pd
```

Results
Calculated density (kg/m3): 11281
Space group: F-43m (216)
Electronic total energy (eV/atom): -6.70

---

A geometry-optimized BaCaIr structure, computed with GGA-PBE.

POSCAR file:
```
BaCaIr
1.0
0.0000 3.6242 3.6242
3.6242 0.0000 3.6242
3.6242 3.6242 0.0000
Ba Ca Ir
1 1 1
Cartesian
0.0000 0.0000 0.0000 Ba
3.6242 3.6242 3.6242 Ca
5.4364 5.4364 5.4364 Ir
```

Results
Calculated formation energy (meV per atom): -86
Calculated density (kg/m3): 6446
Space group: F-43m (216)
Energy above the most stable polymorph in this dataset (meV/atom): 71
Electronic total energy (eV/atom): -4.35

---

A geometry-optimized Al2HgBO structure, computed with GGA-PBE.

POSCAR file:
```
Al2HgBO
1.0
3.8373 0.0000 0.0000
0.0000 3.8373 0.0000
0.0000 0.0000 5.3768
Al Hg B O
2 1 1 1
Cartesian
0.0000 1.9187 0.0000 Al
1.9187 0.0000 0.0000 Al
0.0000 0.0000 2.6884 Hg
1.9187 1.9187 2.6884 B
0.0000 0.0000 0.0000 O
```

Results
Calculated density (kg/m3): 5901
Space group: P4/mmm (123)
Electronic total energy (eV/atom): -3.46

---

A geometry-optimized La2HoBi structure, computed with GGA-PBE.

POSCAR file:
```
La2HoBi
1.0
4.9739 0.0000 0.0000
0.0000 4.9739 0.0000
0.0000 0.0000 5.0644
La Ho Bi
2 1 1
Cartesian
0.0000 2.4870 0.0000 La
2.4870 0.0000 0.0000 La
0.0000 0.0000 2.5322 Ho
2.4870 2.4870 2.5322 Bi
```

Results
Calculated formation energy (meV per atom): -442
Calculated density (kg/m3): 8637
Space group: P4/mmm (123)
Energy above the most stable polymorph in this dataset (meV/atom): 0
Electronic total energy (eV/atom): -5.02

---

A geometry-optimized PRuSeCl2 structure, computed with GGA-PBE.

POSCAR file:
```
PRuSeCl2
1.0
4.8968 0.0000 0.0000
0.0000 4.8968 0.0000
0.0000 0.0000 5.0066
P Ru Se Cl
1 1 1 2
Cartesian
0.0000 0.0000 0.0000 P
2.4484 2.4484 0.0000 Ru
0.0000 0.0000 2.5033 Se
0.0000 2.4484 2.5033 Cl
2.4484 0.0000 2.5033 Cl
```

Results
Calculated density (kg/m3): 3899
Space group: P4/mmm (123)
Energy above the most stable polymorph in this dataset (meV/atom): 796
Electronic total energy (eV/atom): -3.17

---

A geometry-optimized PrNd5Sm8 structure, computed with GGA-PBE.

POSCAR file:
```
PrNd5Sm8
1.0
-4.8583 4.8583 5.2113
4.8583 -4.8583 5.2113
4.8583 4.8583 -5.2113
Pr Nd Sm
1 5 8
Cartesian
0.0000 0.0000 0.0000 Pr
2.8098 -1.0522 3.3733 Nd
3.8061 2.0485 1.8381 Nd
2.0485 5.9105 -1.8381 Nd
0.0000 4.8583 2.6057 Nd
1.0522 2.8098 7.0494 Nd
6.6088 0.7950 -0.0496 Sm
4.1587 3.1411 -1.5277 Sm
0.7950 3.1078 0.0496 Sm
0.6997 1.7172 3.6836 Sm
1.7172 -0.6997 6.7390 Sm
4.0633 1.7505 5.2609 Sm
3.1411 5.5580 1.5277 Sm
-1.7505 4.0633 5.1617 Sm
```

Results
Calculated formation energy (meV per atom): 224
Calculated density (kg/m3): 6969
Space group: I-4 (82)
Electronic total energy (eV/atom): -4.52

---

A geometry-optimized TeSCl2 structure, computed with GGA-PBE.

POSCAR file:
```
TeSCl2
1.0
1.7391 1.0040 10.6378
-1.7391 1.0040 10.6378
0.0000 -2.0081 10.6378
Te S Cl
1 1 2
Cartesian
0.0000 0.0000 0.0000 Te
0.0000 0.0000 15.9566 S
0.0000 0.0000 2.4545 Cl
0.0000 0.0000 29.4588 Cl
```

Results
Calculated density (kg/m3): 3435
Space group: R-3m (166)
Energy above the most stable polymorph in this dataset (meV/atom): 687
Electronic total energy (eV/atom): -2.34

---

A geometry-optimized CaYRu4 structure, computed with GGA-PBE.

POSCAR file:
```
CaYRu4
1.0
0.0000 3.7801 3.7801
3.7801 0.0000 3.7801
3.7801 3.7801 0.0000
Ca Y Ru
1 1 4
Cartesian
0.0000 0.0000 0.0000 Ca
5.6701 5.6701 5.6701 Y
2.8352 2.8352 2.8352 Ru
4.7249 4.7249 2.8352 Ru
4.7249 2.8352 4.7249 Ru
2.8352 4.7249 4.7249 Ru
```

Results
Calculated formation energy (meV per atom): -83
Calculated density (kg/m3): 8197
Space group: F-43m (216)
Electronic total energy (eV/atom): -7.68

---

A geometry-optimized BaCa3Rh structure, computed with GGA-PBE.

POSCAR file:
```
BaCa3Rh
1.0
-3.2183 8.5475 3.5032
3.2183 -8.5475 3.5032
3.2183 8.5475 -3.5032
Ba Ca Rh
2 6 2
Cartesian
0.0000 0.0000 0.0000 Ba
0.0000 8.5475 0.0000 Ba
3.2183 -4.2738 2.9963 Ca
3.2183 2.3971 0.3971 Ca
3.2183 6.1504 0.3971 Ca
0.0000 2.3971 3.1060 Ca
0.0000 6.1504 3.1060 Ca
0.0000 12.8213 0.5069 Ca
-1.6092 4.2738 1.7516 Rh
1.6092 4.2738 1.7516 Rh
```

Results
Calculated formation energy (meV per atom): -207
Calculated density (kg/m3): 3106
Space group: Imma (74)
Energy above the most stable polymorph in this dataset (meV/atom): 21
Electronic total energy (eV/atom): -3.26

---

A geometry-optimized TbSmGaPd structure, computed with GGA-PBE.

POSCAR file:
```
TbSmGaPd
1.0
0.0000 3.5989 3.5989
3.5989 0.0000 3.5989
3.5989 3.5989 0.0000
Tb Sm Ga Pd
1 1 1 1
Cartesian
0.0000 0.0000 0.0000 Tb
3.5989 3.5989 3.5989 Sm
5.3984 5.3984 5.3984 Ga
1.7995 1.7995 1.7995 Pd
```

Results
Calculated formation energy (meV per atom): -663
Calculated density (kg/m3): 8646
Space group: F-43m (216)
Energy above the most stable polymorph in this dataset (meV/atom): 47
Electronic total energy (eV/atom): -5.06

---

A geometry-optimized Li2GeBi2 structure, computed with GGA-PBE.

POSCAR file:
```
Li2GeBi2
1.0
-1.8912 1.8912 8.3612
1.8912 -1.8912 8.3612
1.8912 1.8912 -8.3612
Li Ge Bi
2 1 2
Cartesian
1.8912 0.0000 4.1806 Li
0.0000 1.8912 4.1806 Li
0.0000 0.0000 0.0000 Ge
0.0000 0.0000 6.5221 Bi
0.0000 0.0000 10.2003 Bi
```

Results
Calculated formation energy (meV per atom): 18
Calculated density (kg/m3): 7003
Space group: I4/mmm (139)
Energy above the most stable polymorph in this dataset (meV/atom): 159
Electronic total energy (eV/atom): -3.22